Record 1
## BaP4Pd6 (PBE)

Data for crystalline BaP4Pd6 at its relaxed geometry.

As for the magnetization: 0.00 μB/cell. Its formation energy is -5.39 eV/f.u.

Cell lengths 6.440, 6.440, 6.440 Å; angles 96.35, 116.40, 116.40 degrees
Element x y z (fractional)
Ba1 0.000 0.000 0.000
P1 0.000 0.150 0.557
P2 0.594 0.443 0.443
P3 0.000 0.557 0.150
P4 0.406 0.850 0.850
Pd1 0.000 0.784 0.481
Pd2 0.000 0.481 0.784
Pd3 0.697 0.216 0.216
Pd4 0.500 0.000 0.500
Pd5 0.303 0.519 0.519
Pd6 0.500 0.500 0.000


Record 2
## Ba2P7Pd12 (PBE)

Data for crystalline Ba2P7Pd12 at its relaxed geometry.

As for the magnetization: 0.00 μB/cell. Its formation energy is -12.12 eV/f.u.

Cell lengths 4.119, 9.985, 9.985 Å; angles 120.00, 90.00, 90.00 degrees
Element x y z (fractional)
Ba1 0.500 0.000 0.000
Ba2 0.000 0.667 0.333
P1 0.000 0.333 0.667
P2 0.000 0.029 0.770
P3 0.000 0.741 0.971
P4 0.000 0.230 0.259
P5 0.500 0.630 0.569
P6 0.500 0.939 0.370
P7 0.500 0.431 0.061
Pd1 0.500 0.908 0.626
Pd2 0.500 0.718 0.092
Pd3 0.500 0.374 0.282
Pd4 0.500 0.249 0.788
Pd5 0.500 0.539 0.751
Pd6 0.500 0.212 0.461
Pd7 0.000 0.066 0.553
Pd8 0.000 0.487 0.934
Pd9 0.000 0.447 0.513
Pd10 0.000 0.763 0.727
Pd11 0.000 0.965 0.237
Pd12 0.000 0.273 0.035


Record 3
## Ba2PPd2 (PBE)

Data for crystalline Ba2PPd2 at its relaxed geometry.

As for the magnetization: 0.00 μB/cell. The calculation puts the distance to the lowest polymorph of the same formula at 0 meV/atom. Its formation energy is -3.46 eV/f.u.

Cell lengths 6.935, 7.831, 9.711 Å; angles 90.00, 90.00, 90.00 degrees
Element x y z (fractional)
Ba1 0.984 0.244 0.557
Ba2 0.484 0.256 0.443
Ba3 0.516 0.744 0.557
Ba4 0.016 0.756 0.443
Ba5 0.016 0.756 0.057
Ba6 0.516 0.744 0.943
Ba7 0.484 0.256 0.057
Ba8 0.984 0.244 0.943
P1 0.849 0.917 0.750
P2 0.651 0.417 0.750
P3 0.349 0.583 0.250
P4 0.151 0.083 0.250
Pd1 0.197 0.960 0.750
Pd2 0.303 0.460 0.750
Pd3 0.071 0.391 0.250
Pd4 0.697 0.540 0.250
Pd5 0.429 0.891 0.250
Pd6 0.803 0.040 0.250
Pd7 0.571 0.109 0.750
Pd8 0.929 0.609 0.750


Record 4
## BaP2Pd6 (PBE)

Data for crystalline BaP2Pd6 at its relaxed geometry.

As for the magnetization: 0.00 μB/cell. Its formation energy is -4.68 eV/f.u.

Cell lengths 6.275, 6.275, 5.570 Å; angles 90.00, 90.00, 120.00 degrees
Element x y z (fractional)
Ba1 0.000 0.000 0.000
P1 0.333 0.667 0.500
P2 0.667 0.333 0.500
Pd1 0.500 0.000 0.245
Pd2 0.500 0.500 0.245
Pd3 0.000 0.500 0.245
Pd4 0.500 0.500 0.755
Pd5 0.000 0.500 0.755
Pd6 0.500 0.000 0.755


Record 5
## Ba2P2Pd5 (PBE)

Data for crystalline Ba2P2Pd5 at its relaxed geometry.

As for the magnetization: 0.00 μB/cell. Its formation energy is -5.78 eV/f.u.

Cell lengths 4.618, 4.618, 9.251 Å; angles 90.00, 90.00, 90.00 degrees
Element x y z (fractional)
Ba1 0.000 0.000 0.000
Ba2 0.000 0.000 0.500
P1 0.500 0.500 0.214
P2 0.500 0.500 0.786
Pd1 0.500 0.000 0.272
Pd2 0.500 0.000 0.728
Pd3 0.000 0.500 0.272
Pd4 0.000 0.500 0.728
Pd5 0.500 0.500 0.500


Record 6
## Ba8PPd3 (PBE)

Data for crystalline Ba8PPd3 at its relaxed geometry.

As for the magnetization: 0.01 μB/cell. Its formation energy is -5.92 eV/f.u.

Cell lengths 9.396, 9.388, 9.285 Å; angles 120.42, 90.00, 120.03 degrees
Element x y z (fractional)
Ba1 0.256 0.511 0.767
Ba2 0.744 0.489 0.233
Ba3 0.255 0.014 0.775
Ba4 0.760 0.014 0.775
Ba5 0.760 0.520 0.775
Ba6 0.240 0.480 0.225
Ba7 0.240 0.986 0.225
Ba8 0.745 0.986 0.225
P1 0.000 0.000 0.000
Pd1 0.500 0.000 0.000
Pd2 0.500 0.500 0.000
Pd3 0.000 0.500 0.000


Record 7
## Ba2PPd5 (PBE)

Data for crystalline Ba2PPd5 at its relaxed geometry.

As for the magnetization: 0.00 μB/cell. Its formation energy is -5.07 eV/f.u.

Cell lengths 5.980, 5.980, 6.685 Å; angles 116.57, 116.57, 90.00 degrees
Element x y z (fractional)
Ba1 0.272 0.772 0.544
Ba2 0.772 0.272 0.544
P1 0.943 0.943 0.886
Pd1 0.759 0.282 0.041
Pd2 0.282 0.282 0.041
Pd3 0.759 0.759 0.040
Pd4 0.282 0.759 0.041
Pd5 0.709 0.709 0.417


Record 8
## BaPPd6 (PBE)

Data for crystalline BaPPd6 at its relaxed geometry.

As for the magnetization: 0.00 μB/cell. Its formation energy is -2.81 eV/f.u.

Cell lengths 6.153, 6.153, 6.153 Å; angles 58.95, 58.95, 58.95 degrees
Element x y z (fractional)
Ba1 0.500 0.500 0.500
P1 0.000 0.000 0.000
Pd1 0.898 0.897 0.441
Pd2 0.897 0.441 0.898
Pd3 0.441 0.898 0.897
Pd4 0.102 0.103 0.559
Pd5 0.103 0.559 0.102
Pd6 0.559 0.102 0.103


Record 9
## Ba2PPd2 (PBE)

Data for crystalline Ba2PPd2 at its relaxed geometry.

As for the magnetization: 0.00 μB/cell. The calculation puts the distance to the lowest polymorph of the same formula at 218 meV/atom. Its formation energy is -2.37 eV/f.u.

Cell lengths 7.437, 7.437, 4.654 Å; angles 90.00, 90.00, 90.00 degrees
Element x y z (fractional)
P1 0.000 0.000 0.000
P2 0.500 0.500 0.000
Ba1 0.185 0.685 0.500
Ba2 0.685 0.815 0.500
Ba3 0.815 0.315 0.500
Ba4 0.315 0.185 0.500
Pd1 0.368 0.868 0.000
Pd2 0.868 0.632 0.000
Pd3 0.632 0.132 0.000
Pd4 0.132 0.368 0.000


Record 10
## BaP2Pd4 (PBE)

Data for crystalline BaP2Pd4 at its relaxed geometry.

As for the magnetization: 0.00 μB/cell. Its formation energy is -4.65 eV/f.u.

Cell lengths 4.413, 4.362, 7.544 Å; angles 106.80, 90.00, 90.00 degrees
Element x y z (fractional)
Ba1 0.000 0.000 0.000
P1 0.500 0.627 0.253
P2 0.500 0.373 0.747
Pd1 0.500 0.812 0.623
Pd2 0.000 0.685 0.371
Pd3 0.500 0.188 0.377
Pd4 0.000 0.315 0.629


Record 11
## Ba4P2Pd (PBE)

Data for crystalline Ba4P2Pd at its relaxed geometry.

As for the magnetization: 0.00 μB/cell. Its formation energy is -5.94 eV/f.u.

Cell lengths 8.547, 8.541, 8.551 Å; angles 109.37, 109.40, 109.60 degrees
Element x y z (fractional)
Ba1 0.134 0.748 0.751
Ba2 0.752 0.502 0.884
Ba3 0.997 0.383 0.249
Ba4 0.618 0.867 0.616
Ba5 0.252 0.002 0.384
Ba6 0.617 0.868 0.116
Ba7 0.133 0.247 0.749
Ba8 0.498 0.384 0.251
P1 0.250 0.625 0.125
P2 0.500 0.125 0.875
P3 0.875 0.750 0.375
P4 0.375 0.500 0.625
Pd1 0.750 0.250 0.500
Pd2 0.000 0.000 0.000


Record 12
## BaP2Pd3 (PBE)

Data for crystalline BaP2Pd3 at its relaxed geometry.

As for the magnetization: 0.00 μB/cell. The calculation puts the distance to the lowest polymorph of the same formula at 96 meV/atom. Its formation energy is -3.60 eV/f.u.

Cell lengths 4.151, 8.936, 8.929 Å; angles 51.44, 76.56, 76.57 degrees
Element x y z (fractional)
Ba1 0.826 0.174 0.174
Ba2 0.174 0.826 0.826
P1 0.500 0.138 0.862
P2 0.500 0.862 0.138
P3 0.854 0.645 0.646
P4 0.146 0.355 0.354
Pd1 0.384 0.446 0.787
Pd2 0.000 0.309 0.690
Pd3 0.616 0.214 0.553
Pd4 0.384 0.786 0.447
Pd5 0.000 0.691 0.310
Pd6 0.616 0.554 0.213